Here is crystalline LiPr2Zn4Ga3 at its relaxed geometry from the Alexandria database. Energies are from PBE.

```
LiPr2Zn4Ga3
1.0
4.304 0.000 0.000
0.000 4.304 0.000
0.000 0.000 10.561
Li Pr Zn Ga
1 2 4 3
Cartesian
0.000 0.000 0.000
0.000 2.152 7.862
2.152 0.000 2.699
0.000 0.000 5.281
0.000 2.152 1.347
2.152 0.000 9.215
2.152 2.152 5.281
0.000 2.152 3.822
2.152 0.000 6.739
2.152 2.152 0.000
```

Electronic total energy: -2.996 eV/atom



Here is crystalline PmPF at its relaxed geometry from the Alexandria database. Energies are from PBE.

```
PmPF
1.0
3.332 0.000 0.000
0.000 3.332 0.000
0.000 0.000 10.087
Pm P F
2 2 2
Cartesian
0.000 0.000 0.000
1.666 1.666 5.044
0.000 0.000 3.046
1.666 1.666 8.090
0.000 0.000 5.890
1.666 1.666 0.847
```

Offset from the most stable computed form: 2.00 eV per formula unit



Calculated values (μB/cell) of total magnetic moment for the records, taken in order: 0.0; 0.0.